# ScCd2 (GGA-PBE, optimized geometry)
# density of states at the Fermi level: 1.522 states/eV/f.u.
# energy of formation from the pure elements: -0.70 eV/f.u.
# E: -8.9 eV/f.u.
data_ScCd2
_chemical_formula_sum 'Sc2 Cd4'
_cell_length_a 4.9443
_cell_length_b 4.9443
_cell_length_c 6.1445
_cell_angle_alpha 90.00
_cell_angle_beta 90.00
_cell_angle_gamma 120.00
_symmetry_space_group_name_H-M 'P -3 m 1'
_symmetry_Int_Tables_number 164
_symmetry_space_group_name_Hall '-P 3 2"'
loop_
_atom_site_label
_atom_site_type_symbol
_atom_site_fract_x
_atom_site_fract_y
_atom_site_fract_z
Sc1 Sc 0.3333 0.6667 0.3154
Cd1 Cd 0.0000 0.0000 0.0000
Cd2 Cd 0.0000 0.0000 0.5000
Cd3 Cd 0.3333 0.6667 0.8159

# BePCS2 (GGA-PBE, optimized geometry)
# density of states at the Fermi level: 4.084 states/eV/f.u.
# E: -18.0 eV/f.u.
# uncorrected formation energy: 1.727 eV per atom
# E above lowest polymorph: 413 meV per atom
data_BePCS2
_chemical_formula_sum 'Be1 P1 C1 S2'
_cell_length_a 4.2055
_cell_length_b 4.2055
_cell_length_c 4.1863
_cell_angle_alpha 90.00
_cell_angle_beta 90.00
_cell_angle_gamma 90.00
_symmetry_space_group_name_H-M 'P 4/m m m'
_symmetry_Int_Tables_number 123
_symmetry_space_group_name_Hall '-P 4 2'
loop_
_atom_site_label
_atom_site_type_symbol
_atom_site_fract_x
_atom_site_fract_y
_atom_site_fract_z
Be1 Be 0.0000 0.0000 0.0000
P1 P 0.0000 0.0000 0.5000
C1 C 0.5000 0.5000 0.5000
S1 S 0.0000 0.5000 0.0000

# BaIr2Pb (GGA-PBE, optimized geometry)
# density of states at the Fermi level: 0.949 states/eV/f.u.
# energy of formation from the pure elements: 2.58 eV/f.u.
# E: -20.8 eV/f.u.
# E above lowest polymorph: 788 meV per atom
data_BaIr2Pb
_chemical_formula_sum 'Ba4 Ir8 Pb4'
_cell_length_a 7.9013
_cell_length_b 7.9013
_cell_length_c 6.5311
_cell_angle_alpha 90.00
_cell_angle_beta 90.00
_cell_angle_gamma 90.00
_symmetry_space_group_name_H-M 'I -4 2 d'
_symmetry_Int_Tables_number 122
_symmetry_space_group_name_Hall 'I -4 2bw'
loop_
_atom_site_label
_atom_site_type_symbol
_atom_site_fract_x
_atom_site_fract_y
_atom_site_fract_z
Ba1 Ba 0.0000 0.0000 0.0000
Ir1 Ir 0.2037 0.2500 0.6250
Pb1 Pb 0.0000 0.0000 0.5000

# ReHRu2 (GGA-PBE, optimized geometry)
# density of states at the Fermi level: 1.813 states/eV/f.u.
# E: -33.2 eV/f.u.
# E above lowest polymorph: 282 meV per atom
data_ReHRu2
_chemical_formula_sum 'Re4 H4 Ru8'
_cell_length_a 6.0641
_cell_length_b 6.0641
_cell_length_c 5.0875
_cell_angle_alpha 90.00
_cell_angle_beta 90.00
_cell_angle_gamma 90.00
_symmetry_space_group_name_H-M 'I -4 2 d'
_symmetry_Int_Tables_number 122
_symmetry_space_group_name_Hall 'I -4 2bw'
loop_
_atom_site_label
_atom_site_type_symbol
_atom_site_fract_x
_atom_site_fract_y
_atom_site_fract_z
Re1 Re 0.0000 0.0000 0.0000
H1 H 0.0000 0.0000 0.5000
Ru1 Ru 0.1538 0.2500 0.6250

# Rb2HgI4 (GGA-PBE, optimized geometry)
# density of states at the Fermi level: 0.000 states/eV/f.u.
# E: -15.4 eV/f.u.
# uncorrected formation energy: -0.995 eV per atom
# E above lowest polymorph: 0 meV per atom
data_Rb2HgI4
_chemical_formula_sum 'Rb4 Hg2 I8'
_cell_length_a 8.4217
_cell_length_b 8.4598
_cell_length_c 10.2335
_cell_angle_alpha 90.00
_cell_angle_beta 107.89
_cell_angle_gamma 90.00
_symmetry_space_group_name_H-M 'P 1 21/m 1'
_symmetry_Int_Tables_number 11
_symmetry_space_group_name_Hall '-P 2yb'
loop_
_atom_site_label
_atom_site_type_symbol
_atom_site_fract_x
_atom_site_fract_y
_atom_site_fract_z
Rb1 Rb 0.2286 0.2500 0.0580
Rb2 Rb 0.2469 0.2500 0.5614
Hg1 Hg 0.2263 0.7500 0.8044
I1 I 0.0051 0.5093 0.2569
I2 I 0.4137 0.7500 0.0867
I3 I 0.4166 0.7500 0.6181

# AsS6I2 (GGA-PBE, optimized geometry)
# density of states at the Fermi level: 0.872 states/eV/f.u.
# E: -31.7 eV/f.u.
# uncorrected formation energy: 0.094 eV per atom
data_AsS6I2
_chemical_formula_sum 'As1 S6 I2'
_cell_length_a 4.7937
_cell_length_b 7.9058
_cell_length_c 8.1395
_cell_angle_alpha 65.29
_cell_angle_beta 87.19
_cell_angle_gamma 85.90
_symmetry_space_group_name_H-M 'P -1'
_symmetry_Int_Tables_number 2
_symmetry_space_group_name_Hall '-P 1'
loop_
_atom_site_label
_atom_site_type_symbol
_atom_site_fract_x
_atom_site_fract_y
_atom_site_fract_z
As1 As 0.0000 0.0000 0.0000
S1 S 0.0627 0.5151 0.7268
S2 S 0.0940 0.2583 0.4942
S3 S 0.1372 0.7043 0.2950
I1 I 0.4341 0.8553 0.8468

# CsInSi (GGA-PBE, optimized geometry)
# density of states at the Fermi level: 0.987 states/eV/f.u.
# E: -9.0 eV/f.u.
# uncorrected formation energy: 0.011 eV per atom
data_CsInSi
_chemical_formula_sum 'Cs2 In2 Si2'
_cell_length_a 4.5398
_cell_length_b 6.2909
_cell_length_c 8.6420
_cell_angle_alpha 98.15
_cell_angle_beta 92.21
_cell_angle_gamma 111.07
_symmetry_space_group_name_H-M 'P -1'
_symmetry_Int_Tables_number 2
_symmetry_space_group_name_Hall '-P 1'
loop_
_atom_site_label
_atom_site_type_symbol
_atom_site_fract_x
_atom_site_fract_y
_atom_site_fract_z
Cs1 Cs 0.1368 0.2272 0.3246
In1 In 0.1783 0.3757 0.8518
Si1 Si 0.4091 0.8152 0.0344

# Ba2TlOs (GGA-PBE, optimized geometry)
# density of states at the Fermi level: 4.399 states/eV/f.u.
# energy of formation from the pure elements: 2.46 eV/f.u.
# E: -15.0 eV/f.u.
# E above lowest polymorph: 307 meV per atom
data_Ba2TlOs
_chemical_formula_sum 'Ba4 Tl2 Os2'
_cell_length_a 8.4068
_cell_length_b 3.5869
_cell_length_c 9.5879
_cell_angle_alpha 90.00
_cell_angle_beta 97.82
_cell_angle_gamma 90.00
_symmetry_space_group_name_H-M 'C 1 2/m 1'
_symmetry_Int_Tables_number 12
_symmetry_space_group_name_Hall '-C 2y'
loop_
_atom_site_label
_atom_site_type_symbol
_atom_site_fract_x
_atom_site_fract_y
_atom_site_fract_z
Ba1 Ba 0.2359 0.0000 0.1955
Tl1 Tl 0.0000 0.0000 0.5000
Os1 Os 0.0000 0.5000 0.0000